Entry 1:
Material: La2PmHo3Tm6
Method: DFT, GGA-PBE
State: relaxed

Values from the calculation:
ΔH_f (0 K) ... 0.03 eV per atom

Lattice parameters (Å, degrees): 6.166 6.166 11.708 95.03 95.03 119.97
Element x y z (fractional)
La: 0.333 0.667 0.000
La: 0.667 0.333 0.000
Pm: 0.000 0.000 0.000
Ho: 0.167 0.833 0.500
Ho: 0.833 0.167 0.500
Ho: 0.500 0.500 0.500
Tm: 0.914 0.582 0.745
Tm: 0.753 0.753 0.255
Tm: 0.086 0.418 0.255
Tm: 0.582 0.914 0.745
Tm: 0.247 0.247 0.745
Tm: 0.418 0.086 0.255

***

Entry 2:
Material: InAg2I5
Method: DFT, GGA-PBE
State: relaxed

Values from the calculation:
Relative energy among the computed polymorphs ... 0.228 eV/f.u.

Lattice parameters (Å, degrees): 6.383 9.109 13.266 90.00 90.00 110.51
Element x y z (fractional)
In: 0.798 0.596 0.750
In: 0.202 0.404 0.250
Ag: 0.800 0.600 0.443
Ag: 0.800 0.600 0.057
Ag: 0.200 0.400 0.557
Ag: 0.200 0.400 0.943
I: 0.916 0.832 0.904
I: 0.916 0.832 0.596
I: 0.325 0.651 0.405
I: 0.325 0.651 0.095
I: 0.725 0.451 0.250
I: 0.275 0.549 0.750
I: 0.675 0.349 0.595
I: 0.675 0.349 0.905
I: 0.084 0.168 0.096
I: 0.084 0.168 0.404

***

Number 1: E -54.8 eV per formula unit. Number 2: E -18.6 eV per formula unit.